Here is Sc3Co after structural relaxation from Alexandria via LeMat-Bulk. Energies are from GGA-PBEsol.

V ... 309 Å³ per cell
ΔE_f ... -0.232 eV/atom
Symmetry ... Pnma (62)

Unit cell a=5.7896 b=6.3341 c=8.4332 alpha=90.00 beta=90.00 gamma=90.00
Last column: nearest neighbours and their distance in Å.
Sites, in units of the cell vectors:
Sc: 0.3217 0.1784 0.4382  2 Co 2.53-2.68
Sc: 0.6202 0.5391 0.2500  2 Co 2.43-2.57
Sc: 0.3798 0.4609 0.7500  2 Co 2.43-2.57
Sc: 0.1202 0.9609 0.7500  2 Co 2.43-2.57
Sc: 0.8217 0.3216 0.5618  2 Co 2.53-2.68
Sc: 0.6783 0.8216 0.5618  2 Co 2.53-2.68
Sc: 0.3217 0.1784 0.0618  2 Co 2.53-2.68
Sc: 0.1783 0.6784 0.0618  2 Co 2.53-2.68
Sc: 0.8217 0.3216 0.9382  2 Co 2.53-2.68
Sc: 0.8798 0.0391 0.2500  2 Co 2.43-2.57
Sc: 0.6783 0.8216 0.9382  2 Co 2.53-2.68
Sc: 0.1783 0.6784 0.4382  2 Co 2.53-2.68
Co: 0.5348 0.1041 0.7500  6 Sc 2.43-2.68
Co: 0.0348 0.3959 0.2500  6 Sc 2.43-2.68
Co: 0.9652 0.6041 0.7500  6 Sc 2.43-2.68
Co: 0.4652 0.8959 0.2500  6 Sc 2.43-2.68

Here is ScB2Pb after structural relaxation from Alexandria via LeMat-Bulk. Energies are from GGA-PBEsol.

V ... 129 Å³ per cell
ΔE_f ... 0.837 eV/atom
Symmetry ... I-42d (122)

Unit cell a=5.5077 b=5.5077 c=5.5077 alpha=71.06 beta=71.06 gamma=110.54
Last column: nearest neighbours and their distance in Å.
Sites, in units of the cell vectors:
B: 0.1182 0.6250 0.0068  2 Pb 2.37, 2 Sc 2.42
B: 0.8750 0.8818 0.4932  2 Pb 2.37, 2 Sc 2.42
B: 0.3750 0.3682 0.5068  2 Pb 2.37, 2 Sc 2.42
B: 0.6318 0.1250 0.9932  2 Pb 2.37, 2 Sc 2.42
Sc: 0.5000 0.5000 0.0000  4 B 2.42
Sc: 0.2500 0.7500 0.5000  4 B 2.42
Pb: 0.0000 0.0000 0.0000  4 B 2.37
Pb: 0.7500 0.2500 0.5000  4 B 2.37

Here is Mg30NbCoO32 after structural relaxation from Alexandria via LeMat-Bulk. Energies are from GGA-PBEsol.

V ... 608 Å³ per cell
Raw formation energy ... -166.94 eV/f.u.
Symmetry ... P4/mmm (123)

Unit cell a=8.4679 b=8.4679 c=8.4770 alpha=90.00 beta=90.00 gamma=90.00
Last column: nearest neighbours and their distance in Å.
Sites, in units of the cell vectors:
O: 0.2510 0.0000 0.5000  6 Mg 2.11-2.13
O: 0.5000 0.5000 0.2589  5 Mg 2.04-2.15, 1 Nb 2.19
O: 0.7495 0.2505 0.7509  6 Mg 2.11-2.13
O: 0.7495 0.7495 0.2491  6 Mg 2.11-2.13
O: 0.7504 0.5000 0.5000  6 Mg 2.09-2.13
O: 0.7490 0.0000 0.5000  6 Mg 2.11-2.13
O: 0.5000 0.0000 0.7487  6 Mg 2.09-2.14
O: 0.0000 0.2588 0.0000  5 Mg 2.04-2.11, 1 Co 2.19
O: 0.2505 0.2505 0.2491  6 Mg 2.11-2.13
O: 0.7412 0.0000 0.0000  5 Mg 2.04-2.11, 1 Co 2.19
O: 0.0000 0.5000 0.2513  6 Mg 2.09-2.14
O: 0.2458 0.5000 0.0000  5 Mg 2.08-2.18, 1 Nb 2.15
O: 0.0000 0.7412 0.0000  5 Mg 2.04-2.11, 1 Co 2.19
O: 0.5000 0.0000 0.2513  6 Mg 2.09-2.14
O: 0.0000 0.0000 0.2578  5 Mg 2.05-2.10, 1 Co 2.19
O: 0.5000 0.2496 0.5000  6 Mg 2.09-2.13
O: 0.5000 0.5000 0.7411  5 Mg 2.04-2.15, 1 Nb 2.19
O: 0.7495 0.7495 0.7509  6 Mg 2.11-2.13
O: 0.2496 0.5000 0.5000  6 Mg 2.09-2.13
O: 0.2505 0.7495 0.7509  6 Mg 2.11-2.13
O: 0.0000 0.2510 0.5000  6 Mg 2.11-2.13
O: 0.2588 0.0000 0.0000  5 Mg 2.04-2.11, 1 Co 2.19
O: 0.5000 0.7504 0.5000  6 Mg 2.09-2.13
O: 0.2505 0.7495 0.2491  6 Mg 2.11-2.13
O: 0.0000 0.5000 0.7487  6 Mg 2.09-2.14
O: 0.0000 0.0000 0.7422  5 Mg 2.05-2.10, 1 Co 2.19
O: 0.5000 0.7542 0.0000  5 Mg 2.08-2.18, 1 Nb 2.15
O: 0.2505 0.2505 0.7509  6 Mg 2.11-2.13
O: 0.0000 0.7490 0.5000  6 Mg 2.11-2.13
O: 0.5000 0.2458 0.0000  5 Mg 2.08-2.18, 1 Nb 2.15
O: 0.7542 0.5000 0.0000  5 Mg 2.08-2.18, 1 Nb 2.15
O: 0.7495 0.2505 0.2491  6 Mg 2.11-2.13
Mg: 0.0000 0.0000 0.5000  6 O 2.05-2.13
Mg: 0.0000 0.5000 0.5000  6 O 2.11
Mg: 0.0000 0.2473 0.7516  6 O 2.10-2.14
Mg: 0.0000 0.5000 0.0000  6 O 2.04-2.13
Mg: 0.7534 0.5000 0.7469  6 O 2.09-2.15
Mg: 0.7568 0.7568 0.0000  6 O 2.06-2.18
Mg: 0.2488 0.7512 0.5000  6 O 2.11-2.13
Mg: 0.5000 0.0000 0.5000  6 O 2.11
Mg: 0.0000 0.2473 0.2484  6 O 2.10-2.14
Mg: 0.0000 0.7527 0.2484  6 O 2.10-2.14
Mg: 0.7534 0.5000 0.2531  6 O 2.09-2.15
Mg: 0.2473 0.0000 0.2484  6 O 2.10-2.14
Mg: 0.2432 0.7568 0.0000  6 O 2.06-2.18
Mg: 0.7512 0.7512 0.5000  6 O 2.11-2.13
Mg: 0.5000 0.5000 0.5000  6 O 2.04-2.12
Mg: 0.0000 0.7527 0.7516  6 O 2.10-2.14
Mg: 0.5000 0.7534 0.2531  6 O 2.09-2.15
Mg: 0.7527 0.0000 0.2484  6 O 2.10-2.14
Mg: 0.7512 0.2488 0.5000  6 O 2.11-2.13
Mg: 0.2466 0.5000 0.7469  6 O 2.09-2.15
Mg: 0.5000 0.2466 0.2531  6 O 2.09-2.15
Mg: 0.2432 0.2432 0.0000  6 O 2.06-2.18
Mg: 0.2466 0.5000 0.2531  6 O 2.09-2.15
Mg: 0.5000 0.7534 0.7469  6 O 2.09-2.15
Mg: 0.2473 0.0000 0.7516  6 O 2.10-2.14
Mg: 0.2488 0.2488 0.5000  6 O 2.11-2.13
Mg: 0.5000 0.2466 0.7469  6 O 2.09-2.15
Mg: 0.7527 0.0000 0.7516  6 O 2.10-2.14
Mg: 0.5000 0.0000 0.0000  6 O 2.04-2.13
Mg: 0.7568 0.2432 0.0000  6 O 2.06-2.18
Co: 0.0000 0.0000 0.0000  6 O 2.19
Nb: 0.5000 0.5000 0.0000  6 O 2.15-2.19

Here is Cs2Cu2W after structural relaxation from Alexandria via LeMat-Bulk. Energies are from GGA-PBEsol.

V ... 142 Å³ per cell
ΔE_f ... 1.953 eV/atom
Symmetry ... I4/mmm (139)

Unit cell a=4.5109 b=4.5109 c=7.6780 alpha=107.08 beta=107.08 gamma=90.00
Last column: nearest neighbours and their distance in Å.
Sites, in units of the cell vectors:
Cs: 0.7500 0.2500 0.5000  4 Cs 3.19, 4 Cu 3.29
Cs: 0.2500 0.7500 0.5000  4 Cs 3.19, 4 Cu 3.29
Cu: 0.5786 0.5786 0.1573  1 Cu 2.20
Cu: 0.4214 0.4214 0.8427  1 Cu 2.20
W: 0.0000 0.0000 0.0000  8 Cu 3.37

Here is TaAu after structural relaxation from Alexandria via LeMat-Bulk. Energies are from GGA-PBEsol.

V ... 51 Å³ per cell
ΔE_f ... 1.382 eV/atom
Symmetry ... F-43m (216)

Unit cell a=4.1490 b=4.1490 c=4.1490 alpha=60.00 beta=60.00 gamma=60.00
Last column: nearest neighbours and their distance in Å.
Sites, in units of the cell vectors:
Ta: 0.7500 0.7500 0.7500  4 Au 2.54
Au: 0.0000 0.0000 0.0000  4 Ta 2.54

Here is ZrCrAg2 after structural relaxation from Alexandria via LeMat-Bulk. Energies are from GGA-PBEsol.

V ... 71 Å³ per cell
ΔE_f ... 0.284 eV/atom
Offset from the most stable computed form ... 0.0806 eV/atom
Symmetry ... Fm-3m (225)

Unit cell a=4.6460 b=4.6460 c=4.6460 alpha=60.00 beta=60.00 gamma=60.00
Last column: nearest neighbours and their distance in Å.
Sites, in units of the cell vectors:
Zr: 0.5000 0.5000 0.5000  8 Ag 2.85
Ag: 0.2500 0.2500 0.2500  4 Cr 2.85, 4 Zr 2.85
Ag: 0.7500 0.7500 0.7500  4 Cr 2.85, 4 Zr 2.85
Cr: 0.0000 0.0000 0.0000  8 Ag 2.85

Here is BaGaP2O after structural relaxation from Alexandria via LeMat-Bulk. Energies are from GGA-PBEsol.

V ... 148 Å³ per cell
Raw formation energy ... 4.20 eV/f.u.
Symmetry ... P4/mmm (123)

Unit cell a=4.4641 b=5.7505 c=5.7505 alpha=90.00 beta=90.00 gamma=90.00
Last column: nearest neighbours and their distance in Å.
Sites, in units of the cell vectors:
Ba: 0.0000 0.0000 0.0000  2 O 2.23
O: 0.5000 0.0000 0.0000  2 Ba 2.23
Ga: 0.5000 0.5000 0.5000  8 P 3.64, 4 O 4.07
P: 0.0000 0.0000 0.5000  2 Ba 2.88
P: 0.0000 0.5000 0.0000  2 Ba 2.88

Here is CaMg2P after structural relaxation from Alexandria via LeMat-Bulk. Energies are from GGA-PBEsol.

V ... 85 Å³ per cell
ΔE_f ... -0.200 eV/atom
Symmetry ... I-4m2 (119)

Unit cell a=4.3581 b=4.3581 c=5.4533 alpha=113.55 beta=113.55 gamma=90.00
Last column: nearest neighbours and their distance in Å.
Sites, in units of the cell vectors:
Ca: 0.2500 0.7500 0.5000  8 Mg 3.08-3.13, 4 P 3.13
Mg: 0.0000 0.0000 0.0000  4 P 3.08, 4 Ca 3.13, 4 Mg 3.13
Mg: 0.7500 0.2500 0.5000  4 Ca 3.08, 4 Mg 3.13, 4 P 3.13
P: 0.5000 0.5000 0.0000  8 Mg 3.08-3.13, 4 Ca 3.13

Here is Ni2MoAsPt after structural relaxation from Alexandria via LeMat-Bulk. Energies are from GGA-PBEsol.

V ... 88 Å³ per cell
ΔE_f ... 1.302 eV/atom
Symmetry ... P4/mmm (123)

Unit cell a=4.3515 b=4.3515 c=4.6643 alpha=90.00 beta=90.00 gamma=90.00
Last column: nearest neighbours and their distance in Å.
Sites, in units of the cell vectors:
As: 0.0000 0.0000 0.5000  2 Mo 2.33
Pt: 0.5000 0.5000 0.5000  4 As 3.08, 8 Ni 3.19
Mo: 0.0000 0.0000 0.0000  4 Ni 2.18, 2 As 2.33
Ni: 0.5000 0.0000 0.0000  2 Mo 2.18
Ni: 0.0000 0.5000 0.0000  2 Mo 2.18

Here is AuSe2Br after structural relaxation from Alexandria via LeMat-Bulk. Energies are from GGA-PBEsol.

V ... 87 Å³ per cell
Raw formation energy ... 0.88 eV/f.u.
Symmetry ... I4/mmm (139)

Unit cell a=4.8319 b=4.8335 c=4.8335 alpha=105.20 beta=111.66 gamma=111.66
Last column: nearest neighbours and their distance in Å.
Sites, in units of the cell vectors:
Se: 0.0000 0.5000 0.0000  2 Br 2.71, 2 Au 2.71, 2 Se 2.94
Se: 0.0000 0.0000 0.5000  2 Au 2.71, 2 Br 2.71, 2 Se 2.94
Br: 0.5000 0.0000 0.0000  4 Se 2.71, 2 Au 2.94
Au: 0.5000 0.5000 0.5000  4 Se 2.71, 2 Br 2.94

Here is MgZrRu3 after structural relaxation from Alexandria via LeMat-Bulk. Energies are from GGA-PBEsol.

V ... 85 Å³ per cell
ΔE_f ... 1.179 eV/atom
Symmetry ... Pm-3m (221)

Unit cell a=4.3931 b=4.3931 c=4.3931 alpha=90.00 beta=90.00 gamma=90.00
Last column: nearest neighbours and their distance in Å.
Sites, in units of the cell vectors:
Mg: 0.0000 0.0000 0.0000  6 Ru 2.20
Zr: 0.5000 0.5000 0.5000  12 Ru 3.11
Ru: 0.0000 0.5000 0.0000  2 Mg 2.20
Ru: 0.5000 0.0000 0.0000  2 Mg 2.20
Ru: 0.0000 0.0000 0.5000  2 Mg 2.20

Here is CdFeRu after structural relaxation from Alexandria via LeMat-Bulk. Energies are from GGA-PBEsol.

V ... 43 Å³ per cell
ΔE_f ... 0.247 eV/atom
Symmetry ... I4mm (107)

Unit cell a=2.7499 b=2.7499 c=5.9609 alpha=103.34 beta=103.34 gamma=90.00
Last column: nearest neighbours and their distance in Å.
Sites, in units of the cell vectors:
Cd: 0.0042 0.0042 0.0084  4 Cd 2.75, 4 Fe 2.81, 4 Ru 2.92
Fe: 0.6847 0.6847 0.3695  4 Ru 2.41
Ru: 0.3111 0.3111 0.6221  4 Fe 2.41

| no. | magnetic moment (μB per atom) |
| --- | --- |
| 1 | 0.000 |
| 2 | 0.000 |
| 3 | 0.071 |
| 4 | 0.815 |
| 5 | 0.000 |
| 6 | 1.116 |
| 7 | 0.453 |
| 8 | 0.000 |
| 9 | 0.000 |
| 10 | 0.000 |
| 11 | 0.000 |
| 12 | 0.429 |